No. 1
A plane-wave DFT calculation with GGA-PBE was carried out for a relaxed structure of Pm2Hg2Bi.

Lattice parameters (Å, degrees): 9.1772 4.6421 7.4109 90.00 92.29 90.00
With the nearest neighbours (Å) after each atom.
Space group C2/m (No. 12)
Inequivalent atoms, fractional coordinates:
Pm1 0.1725 0.0000 0.2997  4 Hg 3.09-3.18, 3 Bi 3.21-3.30
Hg1 0.1476 0.0000 0.8821  4 Pm 3.09-3.18, 3 Hg 3.28-3.42
Bi1 0.0000 0.5000 0.5000  6 Pm 3.21-3.30

Summary:
size of the total moment = 0.00 μB/f.u.
theoretical density = 9.48 g/cm3
energy relative to the elements = -0.45 eV per atom



No. 2
A plane-wave DFT calculation with GGA-PBE was carried out for a relaxed structure of AlCuHg2.

Lattice parameters (Å, degrees): 5.6677 7.6668 3.5126 90.00 90.00 90.00
With the nearest neighbours (Å) after each atom.
Space group Cmmm (No. 65)
Inequivalent atoms, fractional coordinates:
Al1 0.0000 0.0000 0.0000  2 Cu 2.83, 8 Hg 2.96
Cu1 0.0000 0.5000 0.0000  2 Al 2.83, 8 Hg 2.96
Hg1 0.2500 0.2500 0.5000  2 Hg 2.83, 4 Al 2.96, 4 Cu 2.96

Summary:
size of the total moment = 0.00 μB/f.u.
theoretical density = 10.70 g/cm3
energy relative to the elements = 0.21 eV per atom



No. 3
A plane-wave DFT calculation with GGA-PBE was carried out for a relaxed structure of ScU2S3.

Lattice parameters (Å, degrees): 3.6966 3.6966 19.8642 90.00 90.00 120.00
With the nearest neighbours (Å) after each atom.
Space group P6_3/mmc (No. 194)
Inequivalent atoms, fractional coordinates:
Sc1 0.0000 0.0000 0.2500  6 S 2.64
U1 0.3333 0.6667 0.0841  6 S 2.71-2.75
S1 0.0000 0.0000 0.0000  6 U 2.71
S2 0.3333 0.6667 0.6715  3 Sc 2.64, 3 U 2.75

Summary:
size of the total moment = 4.49 μB/f.u.
theoretical density = 8.72 g/cm3
energy = -8.3790 eV per atom



No. 4
A plane-wave DFT calculation with GGA-PBE was carried out for a relaxed structure of Mn2TlOs.

Lattice parameters (Å, degrees): 2.9570 2.9570 26.4505 90.00 90.00 120.00
With the nearest neighbours (Å) after each atom.
Space group R-3m (No. 166, hexagonal axes)
Inequivalent atoms, fractional coordinates:
Mn1 0.0000 0.0000 0.2414  3 Os 2.61
Tl1 0.0000 0.0000 0.0000  6 Tl 2.96, 6 Mn 2.97
Os1 0.0000 0.0000 0.5000  6 Mn 2.61

Summary:
size of the total moment = 6.77 μB/f.u.
distance to the lowest polymorph of the same formula = 0.53 eV per formula unit
theoretical density = 12.55 g/cm3
energy relative to the elements = 0.54 eV per atom



No. 5
A plane-wave DFT calculation with GGA-PBE was carried out for a relaxed structure of Er3NiSeCl.

Lattice parameters (Å, degrees): 8.2492 3.8029 9.1290 90.00 104.21 90.00
With the nearest neighbours (Å) after each atom.
Space group P2_1/m (No. 11)
Inequivalent atoms, fractional coordinates:
Er1 0.0661 0.2500 0.3469  3 Ni 2.64-2.72
Er2 0.1867 0.2500 0.9875  2 Cl 2.72
Er3 0.3932 0.7500 0.6098  1 Cl 2.65, 2 Ni 2.74
Ni1 0.1672 0.2500 0.6448  5 Er 2.64-2.74
Se1 0.3121 0.7500 0.2618  7 Er 3.02-3.11
Cl1 0.3767 0.7500 0.8962  3 Er 2.65-2.72

Summary:
size of the total moment = 0.00 μB/f.u.
theoretical density = 8.07 g/cm3
energy = -5.1228 eV per atom



No. 6
A plane-wave DFT calculation with GGA-PBE was carried out for a relaxed structure of YSeBr2.

Lattice parameters (Å, degrees): 3.9308 5.6238 13.7874 90.00 90.00 90.00
With the nearest neighbours (Å) after each atom.
Space group Imm2 (No. 44)
Inequivalent atoms, fractional coordinates:
Y1 0.0000 0.0000 0.0000  2 Se 2.72, 2 Br 2.84
Se1 0.0000 0.5000 0.6364  2 Y 2.72, 2 Br 2.97
Br1 0.0000 0.0000 0.5671  2 Se 2.97
Br2 0.0000 0.5000 0.3510  2 Y 2.84

Summary:
size of the total moment = 0.00 μB/f.u.
distance to the lowest polymorph of the same formula = 0.69 eV per formula unit
theoretical density = 3.57 g/cm3



No. 7
A plane-wave DFT calculation with GGA-PBE was carried out for a relaxed structure of TbGe3Pt5.

Lattice parameters (Å, degrees): 3.6793 12.8590 13.9730 90.00 90.00 90.00
With the nearest neighbours (Å) after each atom.
Space group Cmcm (No. 63)
Inequivalent atoms, fractional coordinates:
Tb1 0.0000 0.1714 0.2500  8 Pt 3.17-3.29, 1 Ge 3.29
Ge1 0.0000 0.0848 0.7500  6 Pt 2.48-2.54
Ge2 0.0000 0.3604 0.5238  6 Pt 2.44-2.62
Pt1 0.0000 0.0000 0.0000  4 Ge 2.59, 6 Pt 2.82-2.83
Pt2 0.0000 0.1907 0.6016  4 Ge 2.44-2.62
Pt3 0.0000 0.4994 0.6527  3 Ge 2.54, 3 Pt 2.72-2.82

Summary:
size of the total moment = 0.00 μB/f.u.
theoretical density = 13.59 g/cm3
energy relative to the elements = -0.62 eV per atom



No. 8
A plane-wave DFT calculation with GGA-PBE was carried out for a relaxed structure of CoW2Au.

Lattice parameters (Å, degrees): 2.7860 2.7860 27.2502 90.00 90.00 120.00
With the nearest neighbours (Å) after each atom.
Space group R-3m (No. 166, hexagonal axes)
Inequivalent atoms, fractional coordinates:
Co1 0.0000 0.0000 0.0000  6 W 2.63, 6 Co 2.79
W1 0.0000 0.0000 0.2569  3 Co 2.63, 6 W 2.79, 3 Au 2.94
Au1 0.0000 0.0000 0.5000  6 Au 2.79, 6 W 2.94

Summary:
size of the total moment = 0.29 μB/f.u.
distance to the lowest polymorph of the same formula = 0.54 eV per formula unit
theoretical density = 16.96 g/cm3
energy relative to the elements = 0.38 eV per atom



No. 9
A plane-wave DFT calculation with GGA-PBE was carried out for a relaxed structure of Y2Cd3.

Lattice parameters (Å, degrees): 5.1275 5.1275 6.4206 90.00 90.00 120.00
With the nearest neighbours (Å) after each atom.
Space group P-3m1 (No. 164)
Inequivalent atoms, fractional coordinates:
Y1 0.3333 0.6667 0.3332  8 Cd 3.13-3.29
Cd1 0.0000 0.0000 0.5000  6 Y 3.15
Cd2 0.3333 0.6667 0.8460  5 Y 3.13-3.29

Summary:
size of the total moment = 0.00 μB/f.u.
distance to the lowest polymorph of the same formula = 1.08 eV per formula unit
theoretical density = 5.85 g/cm3
energy relative to the elements = -0.09 eV per atom



No. 10
A plane-wave DFT calculation with GGA-PBE was carried out for a relaxed structure of PuCuPd.

Lattice parameters (Å, degrees): 3.2993 3.2993 10.1684 90.00 90.00 90.00
With the nearest neighbours (Å) after each atom.
Space group I4mm (No. 107)
Inequivalent atoms, fractional coordinates:
Pu1 0.0000 0.0000 0.0000  5 Cu 3.02-3.16, 5 Pd 3.04-3.14, 4 Pu 3.30
Cu1 0.0000 0.0000 0.3108  4 Pd 2.63
Pd1 0.0000 0.0000 0.6913  4 Cu 2.63

Summary:
size of the total moment = 5.55 μB/f.u.
distance to the lowest polymorph of the same formula = 0.57 eV per formula unit
theoretical density = 12.42 g/cm3
energy relative to the elements = -0.16 eV per atom



No. 11
A plane-wave DFT calculation with GGA-PBE was carried out for a relaxed structure of TbEr2Cu.

Lattice parameters (Å, degrees): 3.5641 3.5641 29.4685 90.00 90.00 120.00
With the nearest neighbours (Å) after each atom.
Space group R-3m (No. 166, hexagonal axes)
Inequivalent atoms, fractional coordinates:
Tb1 0.0000 0.0000 0.0000  6 Tb 3.56, 6 Er 3.57
Er1 0.0000 0.0000 0.2344  3 Cu 2.87
Cu1 0.0000 0.0000 0.5000  6 Er 2.87

Summary:
size of the total moment = 0.00 μB/f.u.
distance to the lowest polymorph of the same formula = 0.55 eV per formula unit
theoretical density = 8.56 g/cm3
energy relative to the elements = 0.02 eV per atom



No. 12
A plane-wave DFT calculation with GGA-PBE was carried out for a relaxed structure of Mn3PbS.

Lattice parameters (Å, degrees): 5.2315 5.2315 5.2315 90.00 90.00 90.00
With the nearest neighbours (Å) after each atom.
Space group Pm-3m (No. 221)
Inequivalent atoms, fractional coordinates:
Mn1 0.0000 0.0000 0.5000  2 Pb 2.62
Pb1 0.0000 0.0000 0.0000  6 Mn 2.62
S1 0.5000 0.5000 0.5000  12 Mn 3.70

Summary:
size of the total moment = 15.00 μB/f.u.
distance to the lowest polymorph of the same formula = 5.23 eV per formula unit
theoretical density = 4.69 g/cm3